A plane-wave DFT calculation with PBE was carried out for a geometry-optimized Y3Zn4Cu4 structure.

Cell and atoms, written as POSCAR:
```
Y3Zn4Cu4
1.0
-2.030 3.558 6.933
2.030 -3.558 6.933
2.030 3.558 -6.933
Y Zn Cu
3 4 4
direct
0.000 0.000 0.000
0.373 0.873 0.500
0.627 0.127 0.500
0.019 0.330 0.690
0.360 0.670 0.690
0.640 0.330 0.310
0.981 0.670 0.310
0.219 0.219 0.000
0.319 0.500 0.819
0.681 0.500 0.181
0.781 0.781 0.000
```

Values from the calculation:
excess energy over the best structure of this formula in the dataset = 6.8 meV/atom
energy relative to the elements = -0.284 eV/atom